YMo: optimized geometry, PBE-GGA.

Cell lengths 5.7807, 5.9354, 11.1051 Å; angles 90.00, 90.00, 90.00 degrees
Fractional positions:
Y 0.1153 0.1428 0.1856
Y 0.1159 0.5962 0.9872
Y 0.3841 0.4038 0.4872
Y 0.3847 0.8572 0.6856
Y 0.6153 0.3572 0.8144
Y 0.6159 0.9038 0.0128
Y 0.8841 0.0962 0.5128
Y 0.8847 0.6428 0.3144
Mo 0.0975 0.1082 0.9060
Mo 0.1006 0.3587 0.7323
Mo 0.3994 0.6413 0.2323
Mo 0.4025 0.8918 0.4060
Mo 0.5975 0.3918 0.0940
Mo 0.6006 0.1413 0.2677
Mo 0.8994 0.8587 0.7677
Mo 0.9025 0.6082 0.5940

Output
As for the space group: P2_12_12_1 (19). For the energy relative to the lowest polymorph listed for this composition, the calculation gives 112 meV/atom. As for the theoretical density: 6.4 g/cm³. The formation energy comes out at 0.248 eV per atom. For the total energy, the calculation gives -8.40 eV per atom.